DFT (GGA-PBE) results for an optimized crystal structure of Li2Sn2Pb.

distance to the lowest polymorph of the same formula: 0 meV/atom
SG: P4/mbm (127)
energy of formation: -218 meV/atom

Cell: 8.443 8.443 3.327 Å, 90.00 90.00 90.00°
Atoms (fractional coordinates):
Li 0.177 0.323 0.000
Li 0.323 0.823 0.000
Li 0.677 0.177 0.000
Li 0.823 0.677 0.000
Sn 0.123 0.623 0.500
Sn 0.377 0.123 0.500
Sn 0.623 0.877 0.500
Sn 0.877 0.377 0.500
Pb 0.000 0.000 0.500
Pb 0.500 0.500 0.500